Run i
Below is an optimized crystal structure of RbInAg, with properties calculated at the PBE level.

Unit cell a=4.9147 b=6.8822 c=6.7731 alpha=83.19 beta=69.17 gamma=90.28
Positions (direct):
Ag (0.0085, 0.9144, 0.2585)
Ag (0.4108, 0.7137, 0.4501)
In (0.6186, 0.9451, 0.0351)
In (0.8007, 0.6831, 0.6735)
Rb (0.0852, 0.4551, 0.1019)
Rb (0.3341, 0.1730, 0.6065)

Calculated values
symmetry	P-1
density of states at the Fermi level	3.7	states/eV per cell


Run ii
Below is an optimized crystal structure of RbInAg, with properties calculated at the PBE level.

Unit cell a=3.9452 b=3.9452 c=7.0358 alpha=106.28 beta=106.28 gamma=90.00
Positions (direct):
Rb (0.0011, 0.0011, 0.0022)
In (0.7168, 0.7168, 0.4336)
Ag (0.2821, 0.2821, 0.5643)

Calculated values
symmetry	I4mm
density of states at the Fermi level	1.3	states/eV per cell


Run iii
Below is an optimized crystal structure of RbInAg, with properties calculated at the PBE level.

Unit cell a=5.4300 b=4.8834 c=4.8834 alpha=120.00 beta=90.00 gamma=90.00
Positions (direct):
Rb (0.6666, 0.3333, 0.6667)
In (0.1672, 0.6667, 0.3333)
Ag (0.1662, 0.0000, 0.0000)

Calculated values
symmetry	P-6m2
density of states at the Fermi level	2.3	states/eV per cell


Run iv
Below is an optimized crystal structure of RbInAg, with properties calculated at the PBE level.

Unit cell a=5.2746 b=6.2669 c=7.4531 alpha=67.50 beta=69.28 gamma=65.11
Positions (direct):
Ag (0.9880, 0.8870, 0.1370)
Ag (0.2640, 0.4379, 0.0341)
In (0.7184, 0.3677, 0.1954)
In (0.3970, 0.9025, 0.3036)
Rb (0.6508, 0.9345, 0.7639)
Rb (0.0051, 0.4102, 0.5795)

Calculated values
symmetry	Cm
density of states at the Fermi level	2.7	states/eV per cell


Stability ranking, top entry: run i; the second entry is 5.6 kJ/mol of atoms less favorable.